Entry 1:
Density functional theory data (PBE) for crystalline Ag12SbO7 at its relaxed geometry.

Geometry as CIF:
```
data_Ag12SbO7
_symmetry_space_group_name_H-M 'R -3'
_symmetry_Int_Tables_number 148
_symmetry_space_group_name_Hall '-R 3'
_cell_length_a 11.4557
_cell_length_b 11.4557
_cell_length_c 8.0194
_cell_angle_alpha 90.00
_cell_angle_beta 90.00
_cell_angle_gamma 120.00
loop_
_atom_site_label
_atom_site_type_symbol
_atom_site_fract_x
_atom_site_fract_y
_atom_site_fract_z
Ag1 Ag 0.0068 0.5937 0.1855
Ag2 Ag 0.0614 0.1966 0.8488
Sb1 Sb 0.0000 0.0000 0.5000
O1 O 0.0000 0.0000 0.0000
O2 O 0.0619 0.1682 0.3573
```

Calculated values
N(E_F) = 14.649 states/eV/cell
formation energy without anion corrections = -0.22 eV per atom

Entry 2:
Density functional theory data (PBE) for crystalline NaPaPd6 at its relaxed geometry.

Geometry as CIF:
```
data_NaPaPd6
_symmetry_space_group_name_H-M 'P 4/m m m'
_symmetry_Int_Tables_number 123
_symmetry_space_group_name_Hall '-P 4 2'
_cell_length_a 4.145
_cell_length_b 4.145
_cell_length_c 7.991
_cell_angle_alpha 90.00
_cell_angle_beta 90.00
_cell_angle_gamma 90.00
loop_
_atom_site_label
_atom_site_type_symbol
_atom_site_fract_x
_atom_site_fract_y
_atom_site_fract_z
Na1 Na 0.000 0.000 0.000
Pa1 Pa 0.000 0.000 0.500
Pd1 Pd 0.000 0.500 0.255
Pd2 Pd 0.500 0.500 0.000
Pd3 Pd 0.500 0.500 0.500
```

Calculated values
energy relative to the elements = -0.524 eV per atom
N(E_F) = 4.702 states/eV/cell

Entry 3:
Density functional theory data (PBE) for crystalline NaCdNi4 at its relaxed geometry.

Geometry as CIF:
```
data_NaCdNi4
_symmetry_space_group_name_H-M 'F -4 3 m'
_symmetry_Int_Tables_number 216
_symmetry_space_group_name_Hall 'F -4 2 3'
_cell_length_a 6.941
_cell_length_b 6.941
_cell_length_c 6.941
_cell_angle_alpha 90.00
_cell_angle_beta 90.00
_cell_angle_gamma 90.00
loop_
_atom_site_label
_atom_site_type_symbol
_atom_site_fract_x
_atom_site_fract_y
_atom_site_fract_z
Na1 Na 0.000 0.000 0.000
Cd1 Cd 0.250 0.250 0.250
Ni1 Ni 0.125 0.125 0.625
```

Calculated values
energy relative to the elements = 0.117 eV per atom
N(E_F) = 17.524 states/eV/cell

Entry 4:
Density functional theory data (PBE) for crystalline Tb4PmSe5 at its relaxed geometry.

Geometry as CIF:
```
data_Tb4PmSe5
_symmetry_space_group_name_H-M 'C 1 2/m 1'
_symmetry_Int_Tables_number 12
_symmetry_space_group_name_Hall '-C 2y'
_cell_length_a 13.672
_cell_length_b 4.115
_cell_length_c 10.078
_cell_angle_alpha 90.00
_cell_angle_beta 119.62
_cell_angle_gamma 90.00
loop_
_atom_site_label
_atom_site_type_symbol
_atom_site_fract_x
_atom_site_fract_y
_atom_site_fract_z
Tb1 Tb 0.099 0.000 0.397
Tb2 Tb 0.203 0.500 0.800
Pm1 Pm 0.000 0.500 0.000
Se1 Se 0.000 0.500 0.500
Se2 Se 0.104 0.000 0.897
Se3 Se 0.203 0.500 0.306
```

Calculated values
offset from the most stable computed form = 0 meV/atom
N(E_F) = 9.187 states/eV/cell
formation energy without anion corrections = -1.79 eV per atom

Entry 5:
Density functional theory data (PBE) for crystalline Ca2BrF at its relaxed geometry.

Geometry as CIF:
```
data_Ca2BrF
_symmetry_space_group_name_H-M 'F m -3 m'
_symmetry_Int_Tables_number 225
_symmetry_space_group_name_Hall '-F 4 2 3'
_cell_length_a 7.254
_cell_length_b 7.254
_cell_length_c 7.254
_cell_angle_alpha 90.00
_cell_angle_beta 90.00
_cell_angle_gamma 90.00
loop_
_atom_site_label
_atom_site_type_symbol
_atom_site_fract_x
_atom_site_fract_y
_atom_site_fract_z
Ca1 Ca 0.250 0.250 0.250
Br1 Br 0.000 0.000 0.000
F1 F 0.000 0.000 0.500
```

Calculated values
offset from the most stable computed form = 544 meV/atom
N(E_F) = 25.258 states/eV/cell
formation energy without anion corrections = -1.34 eV per atom

Entry 6:
Density functional theory data (PBE) for crystalline TbErAg5 at its relaxed geometry.

Geometry as CIF:
```
data_TbErAg5
_symmetry_space_group_name_H-M 'P 4/m m m'
_symmetry_Int_Tables_number 123
_symmetry_space_group_name_Hall '-P 4 2'
_cell_length_a 4.954
_cell_length_b 4.954
_cell_length_c 6.604
_cell_angle_alpha 90.00
_cell_angle_beta 90.00
_cell_angle_gamma 90.00
loop_
_atom_site_label
_atom_site_type_symbol
_atom_site_fract_x
_atom_site_fract_y
_atom_site_fract_z
Tb1 Tb 0.000 0.000 0.000
Er1 Er 0.500 0.500 0.500
Ag1 Ag 0.000 0.500 0.264
Ag2 Ag 0.500 0.500 0.000
```

Calculated values
energy relative to the elements = -0.064 eV per atom
N(E_F) = 3.038 states/eV/cell

Entry 7:
Density functional theory data (PBE) for crystalline LiTe2Se at its relaxed geometry.

Geometry as CIF:
```
data_LiTe2Se
_symmetry_space_group_name_H-M 'I m m m'
_symmetry_Int_Tables_number 71
_symmetry_space_group_name_Hall '-I 2 2'
_cell_length_a 4.002
_cell_length_b 4.006
_cell_length_c 12.500
_cell_angle_alpha 90.00
_cell_angle_beta 90.00
_cell_angle_gamma 90.00
loop_
_atom_site_label
_atom_site_type_symbol
_atom_site_fract_x
_atom_site_fract_y
_atom_site_fract_z
Li1 Li 0.000 0.000 0.000
Te1 Te 0.000 0.500 0.318
Se1 Se 0.000 0.000 0.500
```

Calculated values
N(E_F) = 3.537 states/eV/cell
formation energy without anion corrections = -0.27 eV per atom

Entry 8:
Density functional theory data (PBE) for crystalline Tb4Sm2HoSc at its relaxed geometry.

Geometry as CIF:
```
data_Tb4Sm2HoSc
_symmetry_space_group_name_H-M 'P 4/m m m'
_symmetry_Int_Tables_number 123
_symmetry_space_group_name_Hall '-P 4 2'
_cell_length_a 5.006
_cell_length_b 5.006
_cell_length_c 9.974
_cell_angle_alpha 90.00
_cell_angle_beta 90.00
_cell_angle_gamma 90.00
loop_
_atom_site_label
_atom_site_type_symbol
_atom_site_fract_x
_atom_site_fract_y
_atom_site_fract_z
Tb1 Tb 0.000 0.500 0.245
Sm1 Sm 0.000 0.000 0.000
Sm2 Sm 0.500 0.500 0.500
Ho1 Ho 0.000 0.000 0.500
Sc1 Sc 0.500 0.500 0.000
```

Calculated values
energy relative to the elements = 0.030 eV per atom
N(E_F) = 11.361 states/eV/cell